This record from OQMD via LeMat-Bulk describes a geometry-optimized KHgPO structure. The functional is PBE.

Properties
E_tot = -3.184 eV/atom
polymorph energy (0 for the lowest one) = 0.102 eV per formula unit

```
data_KHgPO
_chemical_formula_sum 'K2 Hg2 P2 O2'
_symmetry_space_group_name_H-M 'P 1'
_symmetry_Int_Tables_number 1
_cell_length_a 5.285
_cell_length_b 3.326
_cell_length_c 9.601
_cell_angle_alpha 90.00
_cell_angle_beta 90.00
_cell_angle_gamma 90.00
loop_
_symmetry_equiv_pos_as_xyz
'x,y,z'
loop_
_atom_site_label
_atom_site_type_symbol
_atom_site_fract_x
_atom_site_fract_y
_atom_site_fract_z
K1 K 0.250 0.000 0.122
K2 K 0.750 0.000 0.878
Hg1 Hg 0.250 0.500 0.698
Hg2 Hg 0.750 0.500 0.302
P1 P 0.250 0.500 0.444
P2 P 0.750 0.500 0.556
O1 O 0.250 0.000 0.854
O2 O 0.750 0.000 0.146
```


This record from OQMD via LeMat-Bulk describes a geometry-optimized KHgPO structure. The functional is PBE.

Properties
E_tot = -3.210 eV/atom
polymorph energy (0 for the lowest one) = 0.000 eV per formula unit

```
data_KHgPO
_chemical_formula_sum 'K2 Hg2 P2 O2'
_symmetry_space_group_name_H-M 'P 1'
_symmetry_Int_Tables_number 1
_cell_length_a 4.314
_cell_length_b 7.643
_cell_length_c 4.888
_cell_angle_alpha 90.00
_cell_angle_beta 90.00
_cell_angle_gamma 90.00
loop_
_symmetry_equiv_pos_as_xyz
'x,y,z'
loop_
_atom_site_label
_atom_site_type_symbol
_atom_site_fract_x
_atom_site_fract_y
_atom_site_fract_z
K1 K 0.000 0.132 0.000
K2 K 0.000 0.868 0.500
Hg1 Hg 0.500 0.266 0.499
Hg2 Hg 0.500 0.734 0.999
P1 P 0.000 0.451 0.500
P2 P 0.000 0.549 0.000
O1 O 0.500 0.000 0.252
O2 O 0.500 0.000 0.752
```


This record from OQMD via LeMat-Bulk describes a geometry-optimized KHgPO structure. The functional is PBE.

Properties
E_tot = -2.812 eV/atom
polymorph energy (0 for the lowest one) = 1.593 eV per formula unit

```
data_KHgPO
_chemical_formula_sum 'K2 Hg2 P2 O2'
_symmetry_space_group_name_H-M 'P 1'
_symmetry_Int_Tables_number 1
_cell_length_a 4.427
_cell_length_b 4.427
_cell_length_c 8.621
_cell_angle_alpha 90.00
_cell_angle_beta 90.00
_cell_angle_gamma 90.00
loop_
_symmetry_equiv_pos_as_xyz
'x,y,z'
loop_
_atom_site_label
_atom_site_type_symbol
_atom_site_fract_x
_atom_site_fract_y
_atom_site_fract_z
K1 K 0.250 0.750 0.000
K2 K 0.750 0.250 0.000
Hg1 Hg 0.250 0.250 0.267
Hg2 Hg 0.750 0.750 0.733
P1 P 0.250 0.250 0.564
P2 P 0.750 0.750 0.436
O1 O 0.250 0.750 0.500
O2 O 0.750 0.250 0.500
```


This record from OQMD via LeMat-Bulk describes a geometry-optimized KHgPO4 structure. The functional is PBE.

Properties
E_tot = -5.493 eV/atom

```
data_KHgPO4
_chemical_formula_sum 'K2 Hg2 P2 O8'
_symmetry_space_group_name_H-M 'P 1'
_symmetry_Int_Tables_number 1
_cell_length_a 5.853
_cell_length_b 5.853
_cell_length_c 6.512
_cell_angle_alpha 90.00
_cell_angle_beta 90.00
_cell_angle_gamma 114.23
loop_
_symmetry_equiv_pos_as_xyz
'x,y,z'
loop_
_atom_site_label
_atom_site_type_symbol
_atom_site_fract_x
_atom_site_fract_y
_atom_site_fract_z
K1 K 0.000 0.000 0.000
K2 K 0.000 0.000 0.500
Hg1 Hg 0.319 0.681 0.750
Hg2 Hg 0.681 0.319 0.250
P1 P 0.366 0.634 0.250
P2 P 0.634 0.366 0.750
O1 O 0.258 0.347 0.250
O2 O 0.263 0.737 0.064
O3 O 0.263 0.737 0.436
O4 O 0.347 0.258 0.750
O5 O 0.653 0.742 0.250
O6 O 0.737 0.263 0.564
O7 O 0.737 0.263 0.936
O8 O 0.742 0.653 0.750
```


This record from OQMD via LeMat-Bulk describes a geometry-optimized KHgPO structure. The functional is PBE.

Properties
E_tot = -2.789 eV/atom
polymorph energy (0 for the lowest one) = 1.685 eV per formula unit

```
data_KHgPO
_chemical_formula_sum 'K2 Hg2 P2 O2'
_symmetry_space_group_name_H-M 'P 1'
_symmetry_Int_Tables_number 1
_cell_length_a 4.851
_cell_length_b 4.851
_cell_length_c 6.619
_cell_angle_alpha 90.00
_cell_angle_beta 90.00
_cell_angle_gamma 90.00
loop_
_symmetry_equiv_pos_as_xyz
'x,y,z'
loop_
_atom_site_label
_atom_site_type_symbol
_atom_site_fract_x
_atom_site_fract_y
_atom_site_fract_z
K1 K 0.250 0.250 0.137
K2 K 0.750 0.750 0.863
Hg1 Hg 0.250 0.750 0.500
Hg2 Hg 0.750 0.250 0.500
P1 P 0.250 0.250 0.685
P2 P 0.750 0.750 0.315
O1 O 0.250 0.750 0.000
O2 O 0.750 0.250 0.000
```


This record from OQMD via LeMat-Bulk describes a geometry-optimized KHg3PdO4 structure. The functional is PBE.

Properties
E_tot = -3.113 eV/atom

```
data_KHg3PdO4
_chemical_formula_sum 'K1 Hg3 Pd1 O4'
_symmetry_space_group_name_H-M 'P 1'
_symmetry_Int_Tables_number 1
_cell_length_a 5.614
_cell_length_b 5.614
_cell_length_c 5.614
_cell_angle_alpha 90.00
_cell_angle_beta 90.00
_cell_angle_gamma 90.00
loop_
_symmetry_equiv_pos_as_xyz
'x,y,z'
loop_
_atom_site_label
_atom_site_type_symbol
_atom_site_fract_x
_atom_site_fract_y
_atom_site_fract_z
K1 K 0.000 0.000 0.000
Hg1 Hg 0.000 0.500 0.500
Hg2 Hg 0.500 0.000 0.500
Hg3 Hg 0.500 0.500 0.000
Pd1 Pd 0.500 0.500 0.500
O1 O 0.264 0.264 0.264
O2 O 0.264 0.736 0.736
O3 O 0.736 0.264 0.736
O4 O 0.736 0.736 0.264
```


This record from OQMD via LeMat-Bulk describes a geometry-optimized KPrHgO3 structure. The functional is PBE.

Properties
E_tot = -5.285 eV/atom

```
data_KPrHgO3
_chemical_formula_sum 'K2 Pr2 Hg2 O6'
_symmetry_space_group_name_H-M 'P 1'
_symmetry_Int_Tables_number 1
_cell_length_a 6.956
_cell_length_b 6.956
_cell_length_c 9.246
_cell_angle_alpha 90.00
_cell_angle_beta 90.00
_cell_angle_gamma 148.42
loop_
_symmetry_equiv_pos_as_xyz
'x,y,z'
loop_
_atom_site_label
_atom_site_type_symbol
_atom_site_fract_x
_atom_site_fract_y
_atom_site_fract_z
K1 K 0.175 0.825 0.750
K2 K 0.825 0.175 0.250
Pr1 Pr 0.500 0.500 0.000
Pr2 Pr 0.500 0.500 0.500
Hg1 Hg 0.115 0.885 0.250
Hg2 Hg 0.885 0.115 0.750
O1 O 0.116 0.884 0.030
O2 O 0.116 0.884 0.470
O3 O 0.466 0.534 0.250
O4 O 0.534 0.466 0.750
O5 O 0.884 0.116 0.530
O6 O 0.884 0.116 0.970
```


This record from OQMD via LeMat-Bulk describes a geometry-optimized KHg3PtO4 structure. The functional is PBE.

Properties
E_tot = -3.125 eV/atom

```
data_KHg3PtO4
_chemical_formula_sum 'K1 Hg3 Pt1 O4'
_symmetry_space_group_name_H-M 'P 1'
_symmetry_Int_Tables_number 1
_cell_length_a 5.678
_cell_length_b 5.678
_cell_length_c 5.678
_cell_angle_alpha 90.00
_cell_angle_beta 90.00
_cell_angle_gamma 90.00
loop_
_symmetry_equiv_pos_as_xyz
'x,y,z'
loop_
_atom_site_label
_atom_site_type_symbol
_atom_site_fract_x
_atom_site_fract_y
_atom_site_fract_z
K1 K 0.000 0.000 0.000
Hg1 Hg 0.000 0.500 0.500
Hg2 Hg 0.500 0.000 0.500
Hg3 Hg 0.500 0.500 0.000
Pt1 Pt 0.500 0.500 0.500
O1 O 0.269 0.269 0.269
O2 O 0.269 0.731 0.731
O3 O 0.731 0.269 0.731
O4 O 0.731 0.731 0.269
```